# RbAlTe2 (PBE-GGA, relaxed)
# * energy relative to the elements, uncorrected: -612 meV per atom
# * total magnetization: 0.00 Bohr magnetons per cell
data_RbAlTe2
_symmetry_space_group_name_H-M 'P 1 21/c 1'
_symmetry_Int_Tables_number 14
_cell_length_a 7.431
_cell_length_b 5.847
_cell_length_c 16.677
_cell_angle_alpha 90.00
_cell_angle_beta 111.24
_cell_angle_gamma 90.00
loop_
_symmetry_equiv_pos_as_xyz
'x,y,z'
'-x,-y,-z'
'-x,y+1/2,-z+1/2'
'x,-y+1/2,z+1/2'
loop_
_atom_site_label
_atom_site_type_symbol
_atom_site_fract_x
_atom_site_fract_y
_atom_site_fract_z
Rb1 Rb 0.169 0.152 0.181
Al1 Al 0.430 0.204 0.495
Te1 Te 0.046 0.170 0.450
Te2 Te 0.385 0.517 0.370